Record 1
Here is crystalline K5Tm3I12 at its relaxed geometry from the Alexandria database. Energies are from PBE.

Cell: 14.7287 14.7287 4.4874 Å, 90.00 90.00 120.00°
With the nearest neighbours (Å) after each atom.
Element x y z (fractional)
K (0.0000, 0.7178, 0.0000)  7 I 3.56-3.71
K (0.2822, 0.2822, 0.0000)  7 I 3.56-3.71
K (0.3333, 0.6667, 0.0000)  6 I 3.63
K (0.6667, 0.3333, 0.0000)  6 I 3.63
K (0.7178, 0.0000, 0.0000)  7 I 3.56-3.71
Tm (0.0000, 0.3252, 0.5000)  6 I 3.04-3.09
Tm (0.3252, 0.0000, 0.5000)  6 I 3.04-3.09
Tm (0.6748, 0.6748, 0.5000)  6 I 3.04-3.09
I (0.0000, 0.1806, 0.0000)  2 Tm 3.09
I (0.0000, 0.4662, 0.0000)  2 Tm 3.06
I (0.1806, 0.0000, 0.0000)  2 Tm 3.09
I (0.2055, 0.7617, 0.5000)  1 Tm 3.04
I (0.2383, 0.4438, 0.5000)  1 Tm 3.04
I (0.4438, 0.2383, 0.5000)  1 Tm 3.04
I (0.4662, 0.0000, 0.0000)  2 Tm 3.06
I (0.5338, 0.5338, 0.0000)  2 Tm 3.06
I (0.5562, 0.7945, 0.5000)  1 Tm 3.04
I (0.7617, 0.2055, 0.5000)  1 Tm 3.04
I (0.7945, 0.5562, 0.5000)  1 Tm 3.04
I (0.8194, 0.8194, 0.0000)  2 Tm 3.09

Computed properties:
SG	P-62m (189)
formation energy (no corrections)	-1.3230	eV per atom


Record 2
Here is crystalline InSn2 at its relaxed geometry from the Alexandria database. Energies are from PBE.

Cell: 5.7786 3.3491 8.9834 Å, 90.00 108.29 90.00°
With the nearest neighbours (Å) after each atom.
Element x y z (fractional)
In (0.0000, 0.0000, 0.0000)  6 In 3.34-3.35, 4 Sn 3.36
In (0.5000, 0.5000, 0.0000)  6 In 3.34-3.35, 4 Sn 3.36
Sn (0.2348, 0.5000, 0.3382)  9 Sn 3.31-3.50, 2 In 3.36
Sn (0.2652, 0.0000, 0.6618)  9 Sn 3.31-3.50, 2 In 3.36
Sn (0.7348, 0.0000, 0.3382)  9 Sn 3.31-3.50, 2 In 3.36
Sn (0.7652, 0.5000, 0.6618)  9 Sn 3.31-3.50, 2 In 3.36

Computed properties:
SG	C2/m (12)
formation energy from the elements	0.1	eV per formula unit


Record 3
Here is crystalline HfScTaAl2 at its relaxed geometry from the Alexandria database. Energies are from PBE.

Cell: 4.9724 4.9724 4.7269 Å, 90.00 90.00 90.00°
With the nearest neighbours (Å) after each atom.
Element x y z (fractional)
Hf (0.0000, 0.0000, 0.0000)  2 Sc 2.36, 4 Al 2.49
Sc (0.0000, 0.0000, 0.5000)  2 Hf 2.36
Ta (0.5000, 0.5000, 0.5000)  8 Al 3.43, 4 Sc 3.52
Al (0.0000, 0.5000, 0.0000)  2 Hf 2.49
Al (0.5000, 0.0000, 0.0000)  2 Hf 2.49

Computed properties:
SG	P4/mmm (123)
formation energy from the elements	7.2	eV per formula unit